[1]
# Cs3NCl

A relaxed Cs3NCl crystal (PBE, Alexandria via LeMat-Bulk).

Properties
Raw formation energy ... -0.32 eV/atom
Density of states at the Fermi level ... 2.79 states/eV/f.u.
Polymorph energy (0 for the lowest one) ... 0 meV/atom
Crystal system ... cubic
VASP energy ... -2.8645 eV per atom

a b c (Å): 5.9534 5.9534 5.9534
angles (deg): 90.00 90.00 90.00
With the nearest neighbours (Å) after each atom.
Atoms (fractional coordinates):
N 0.0000 0.0000 0.0000  6 Cs 2.98
Cs 0.0000 0.5000 0.0000  2 N 2.98
Cs 0.5000 0.0000 0.0000  2 N 2.98
Cl 0.5000 0.5000 0.5000  12 Cs 4.21
Cs 0.0000 0.0000 0.5000  2 N 2.98


[2]
# CsN3Cl12

A relaxed CsN3Cl12 crystal (PBE, Alexandria via LeMat-Bulk).

Properties
Raw formation energy ... 0.16 eV/atom
Density of states at the Fermi level ... 6.50 states/eV/f.u.
Crystal system ... trigonal
VASP energy ... -2.8379 eV per atom

a b c (Å): 11.9408 11.9408 13.7872
angles (deg): 64.34 64.34 60.00
With the nearest neighbours (Å) after each atom.
Atoms (fractional coordinates):
Cl 0.6457 0.6419 0.5425  1 N 1.73
Cl 0.5612 0.8387 0.3411  1 N 1.79
Cl 0.9001 0.3480 0.1204  3 Cl 2.64-2.81
N 0.5247 0.7909 0.4901  3 Cl 1.73-1.79
Cs 0.1004 0.1004 0.6989  3 Cl 3.43
N 0.7909 0.1943 0.4901  3 Cl 1.73-1.79
Cl 0.4767 0.9233 0.5438  1 N 1.76
Cl 0.1419 0.1457 0.0425  1 N 1.73
Cl 0.8480 0.4001 0.6204  3 Cl 2.64-2.81
Cl 0.2590 0.5612 0.3411  1 N 1.79
N 0.0247 0.6943 0.9901  3 Cl 1.73-1.79
Cl 0.9767 0.5562 0.0438  1 N 1.76
Cl 0.0612 0.7590 0.8411  1 N 1.79
Cl 0.1457 0.6699 0.0425  1 N 1.73
Cl 0.5562 0.4233 0.0438  1 N 1.76
N 0.6943 0.2909 0.9901  3 Cl 1.73-1.79
Cl 0.6314 0.9001 0.1204  3 Cl 2.64-2.81
Cl 0.0562 0.4767 0.5438  1 N 1.76
Cl 0.4001 0.1314 0.6204  3 Cl 2.64-2.81
Cl 0.3387 0.0612 0.8411  1 N 1.79
Cl 0.6699 0.1419 0.0425  1 N 1.73
Cl 0.9233 0.0562 0.5438  1 N 1.76
Cl 0.3480 0.6314 0.1204  3 Cl 2.64-2.81
Cl 0.6419 0.1699 0.5425  1 N 1.73
N 0.2909 0.0247 0.9901  3 Cl 1.73-1.79
Cl 0.8387 0.2590 0.3411  1 N 1.79
Cl 0.7590 0.3387 0.8411  1 N 1.79
N 0.1943 0.5247 0.4901  3 Cl 1.73-1.79
Cl 0.4233 0.9767 0.0438  1 N 1.76
Cl 0.1314 0.8480 0.6204  3 Cl 2.64-2.81
Cs 0.6004 0.6004 0.1989  3 Cl 3.43
Cl 0.1699 0.6457 0.5425  1 N 1.73


[3]
# Cs4N12Cl

A relaxed Cs4N12Cl crystal (PBE, Alexandria via LeMat-Bulk).

Properties
Raw formation energy ... -0.27 eV/atom
Density of states at the Fermi level ... 8.83 states/eV/f.u.
Crystal system ... cubic
VASP energy ... -6.4565 eV per atom

a b c (Å): 8.4691 8.4696 8.4702
angles (deg): 109.47 109.47 109.47
With the nearest neighbours (Å) after each atom.
Atoms (fractional coordinates):
N 0.5850 0.1437 0.4413  1 N 1.15
N 0.8563 0.4413 0.2977  1 N 1.15
Cs 0.5000 0.0000 0.0000  6 N 3.25
Cl 0.0000 0.0000 0.0000  8 Cs 4.23-4.24, 12 N 4.54
N 0.4150 0.8563 0.5587  1 N 1.15
N 0.2977 0.8563 0.4413  1 N 1.15
Cs 0.0000 0.0000 0.5000  6 N 3.25
N 0.4413 0.5850 0.1437  1 N 1.15
N 0.5587 0.7023 0.1437  1 N 1.15
N 0.7023 0.1437 0.5587  1 N 1.15
N 0.8563 0.5587 0.4150  1 N 1.15
N 0.5587 0.4150 0.8563  1 N 1.15
N 0.4413 0.2977 0.8563  1 N 1.15
N 0.1437 0.5587 0.7023  1 N 1.15
N 0.1437 0.4413 0.5850  1 N 1.15
Cs 0.0000 0.5000 0.0000  6 N 3.25
Cs 0.5000 0.5000 0.5000  6 N 3.25


[4]
# Cs2N2Cl

A relaxed Cs2N2Cl crystal (PBE, Alexandria via LeMat-Bulk).

Properties
Raw formation energy ... -0.81 eV/atom
Density of states at the Fermi level ... 3.64 states/eV/f.u.
Polymorph energy (0 for the lowest one) ... 62 meV/atom
Crystal system ... tetragonal
VASP energy ... -4.8492 eV per atom

a b c (Å): 8.5436 8.5436 4.0624
angles (deg): 90.00 90.00 90.00
With the nearest neighbours (Å) after each atom.
Atoms (fractional coordinates):
Cs 0.7273 0.7727 0.5000  6 N 3.38-3.47, 4 Cl 3.65
Cs 0.2727 0.2273 0.5000  6 N 3.38-3.47, 4 Cl 3.65
Cs 0.2273 0.7273 0.5000  6 N 3.38-3.47, 4 Cl 3.65
N 0.4510 0.9510 0.0000  1 N 1.18
N 0.5490 0.0490 0.0000  1 N 1.18
N 0.0490 0.4510 0.0000  1 N 1.18
N 0.9510 0.5490 0.0000  1 N 1.18
Cl 0.0000 0.0000 0.0000  8 Cs 3.65, 4 N 3.88, 2 Cl 4.06
Cs 0.7727 0.2727 0.5000  6 N 3.38-3.47, 4 Cl 3.65
Cl 0.5000 0.5000 0.0000  8 Cs 3.65, 4 N 3.88, 2 Cl 4.06